[1]
Entry from Alexandria: a relaxed structure of Ba3Pb5Cl12 (PBE).

```
Ba3Pb5Cl12
1.0
15.6100 0.0000 0.0000
-5.2033 14.7173 0.0000
-5.2033 -7.3586 12.7455
Cl Pb Ba
48 20 12
Direct
0.9433 0.3569 0.2811 Cl
0.9136 0.0758 0.8569 Cl
0.0567 0.4136 0.8378 Cl
0.3569 0.9433 0.7811 Cl
0.3569 0.4136 0.0758 Cl
0.0567 0.6431 0.7189 Cl
0.4242 0.2811 0.3378 Cl
0.6431 0.0567 0.2189 Cl
0.7189 0.1431 0.0567 Cl
0.1622 0.0864 0.9433 Cl
0.7811 0.3378 0.9242 Cl
0.6431 0.5864 0.9242 Cl
0.6622 0.4433 0.5864 Cl
0.6622 0.2189 0.5758 Cl
0.8378 0.9136 0.0567 Cl
0.0864 0.9242 0.1431 Cl
0.7811 0.4433 0.3569 Cl
0.3378 0.5567 0.4136 Cl
0.9242 0.0864 0.6431 Cl
0.2189 0.5567 0.6431 Cl
0.9433 0.5864 0.1622 Cl
0.0864 0.1622 0.4433 Cl
0.5864 0.9433 0.6622 Cl
0.4136 0.3569 0.5758 Cl
0.9242 0.8378 0.7811 Cl
0.0758 0.9136 0.3569 Cl
0.7189 0.5758 0.1622 Cl
0.2811 0.4242 0.8378 Cl
0.5567 0.3378 0.9136 Cl
0.4136 0.0567 0.3378 Cl
0.1622 0.0758 0.7189 Cl
0.4433 0.6622 0.0864 Cl
0.1431 0.7189 0.5567 Cl
0.2811 0.8569 0.9433 Cl
0.0758 0.1622 0.2189 Cl
0.8569 0.2811 0.4433 Cl
0.3378 0.7811 0.4242 Cl
0.9136 0.8378 0.5567 Cl
0.1431 0.4242 0.0864 Cl
0.8569 0.5758 0.9136 Cl
0.5567 0.2189 0.1431 Cl
0.2189 0.6622 0.0758 Cl
0.4433 0.7811 0.8569 Cl
0.4242 0.1431 0.5864 Cl
0.5758 0.8569 0.4136 Cl
0.8378 0.9242 0.2811 Cl
0.5864 0.6431 0.4242 Cl
0.5758 0.7189 0.6622 Cl
0.2500 0.3750 0.6250 Pb
0.5000 0.5000 0.0000 Pb
0.5000 0.5000 0.5000 Pb
0.3750 0.1250 0.7500 Pb
0.1250 0.7500 0.3750 Pb
0.7500 0.1250 0.8750 Pb
0.8750 0.6250 0.7500 Pb
0.0000 0.0000 0.5000 Pb
0.2500 0.8750 0.1250 Pb
0.5000 0.0000 0.5000 Pb
0.0000 0.5000 0.0000 Pb
0.8750 0.2500 0.6250 Pb
0.5000 0.0000 0.0000 Pb
0.0000 0.5000 0.5000 Pb
0.1250 0.3750 0.2500 Pb
0.0000 0.0000 0.0000 Pb
0.7500 0.6250 0.3750 Pb
0.6250 0.8750 0.2500 Pb
0.3750 0.2500 0.1250 Pb
0.6250 0.7500 0.8750 Pb
0.1250 0.8750 0.7500 Ba
0.7500 0.8750 0.6250 Ba
0.2500 0.6250 0.8750 Ba
0.8750 0.7500 0.1250 Ba
0.3750 0.6250 0.2500 Ba
0.7500 0.3750 0.1250 Ba
0.8750 0.1250 0.2500 Ba
0.1250 0.2500 0.8750 Ba
0.6250 0.2500 0.3750 Ba
0.3750 0.7500 0.6250 Ba
0.2500 0.1250 0.3750 Ba
0.6250 0.3750 0.7500 Ba
```

Density: 4.25 g/cm³
Uncorrected formation energy: -30.32 kcal/mol of atoms
D(E_F): 38.31 states/eV/cell
Magnetic moment: 14.21 Bohr magnetons per cell

---

[2]
Entry from Alexandria: a relaxed structure of BaPbCl2 (PBE).

```
BaPbCl2
1.0
-3.2879 4.0857 1.1861
-5.3490 0.5423 0.0625
-0.7247 -1.6197 6.4374
Cl Ba Pb
2 1 1
Direct
0.5463 0.5463 0.4555 Cl
0.9537 0.9537 0.0445 Cl
0.2500 0.2500 0.2500 Ba
0.7500 0.7500 0.7500 Pb
```

Density: 4.95 g/cm³
Uncorrected formation energy: -31.16 kcal/mol of atoms
D(E_F): 2.14 states/eV/cell
Magnetic moment: 0.81 Bohr magnetons per cell

---

[3]
Entry from Alexandria: a relaxed structure of BaPb2Cl (PBE).

```
BaPb2Cl
1.0
-10.5233 -2.4397 -2.1437
-8.9404 -3.2295 -5.5612
-8.8976 -5.8720 -2.7641
Ba Pb Cl
1 2 1
Direct
0.2500 0.2500 0.2500 Ba
0.4876 0.4876 0.4876 Pb
0.0124 0.0124 0.0124 Pb
0.7500 0.7500 0.7500 Cl
```

Density: 7.05 g/cm³
Uncorrected formation energy: -4.70 kcal/mol of atoms
D(E_F): 3.33 states/eV/cell
Magnetic moment: 0.00 Bohr magnetons per cell

---

[4]
Entry from Alexandria: a relaxed structure of Ba4Pb6Cl19 (PBE).

```
Ba4Pb6Cl19
1.0
-10.0417 -4.4300 -0.2528
6.7415 -6.5371 5.6871
-0.4677 9.8541 4.8170
Cl Ba Pb
19 4 6
Direct
0.6532 0.0543 0.2715 Cl
0.7078 0.7078 0.0000 Cl
0.4012 0.3468 0.6184 Cl
0.0000 0.0000 0.0000 Cl
0.7285 0.7828 0.3816 Cl
0.5988 0.2172 0.9457 Cl
0.3468 0.6184 0.4012 Cl
0.2715 0.6532 0.0543 Cl
0.9457 0.5988 0.2172 Cl
0.7078 0.0000 0.7078 Cl
0.0543 0.2715 0.6532 Cl
0.6184 0.4012 0.3468 Cl
0.0000 0.2922 0.2922 Cl
0.2172 0.9457 0.5988 Cl
0.3816 0.7285 0.7828 Cl
0.2922 0.0000 0.2922 Cl
0.2922 0.2922 0.0000 Cl
0.0000 0.7078 0.7078 Cl
0.7828 0.3816 0.7285 Cl
0.0000 0.0000 0.7142 Ba
0.0000 0.7142 0.0000 Ba
0.2858 0.2858 0.2858 Ba
0.7142 0.0000 0.0000 Ba
0.1430 0.6430 0.5000 Pb
0.8570 0.3570 0.5000 Pb
0.5000 0.8570 0.3570 Pb
0.3570 0.5000 0.8570 Pb
0.5000 0.1430 0.6430 Pb
0.6430 0.5000 0.1430 Pb
```

Density: 4.02 g/cm³
Uncorrected formation energy: -37.41 kcal/mol of atoms
D(E_F): 7.30 states/eV/cell
Magnetic moment: 1.14 Bohr magnetons per cell

---

[5]
Entry from Alexandria: a relaxed structure of BaPbCl2 (PBE).

```
BaPbCl2
1.0
-0.7414 -1.9841 -6.9328
4.9991 -0.1821 -5.2465
-1.4297 -1.8633 6.8581
Pb Cl Ba
1 2 1
Direct
0.5000 0.5000 0.0000 Pb
0.2500 0.7500 0.5000 Cl
0.0000 0.0000 0.0000 Cl
0.7500 0.2500 0.5000 Ba
```

Density: 5.40 g/cm³
Uncorrected formation energy: -29.65 kcal/mol of atoms
D(E_F): 2.80 states/eV/cell
Magnetic moment: 0.00 Bohr magnetons per cell

---

[6]
Entry from Alexandria: a relaxed structure of BaPbCl (PBE).

```
BaPbCl
1.0
8.0092 0.0635 -0.0680
7.0127 3.8688 -0.0660
0.9965 0.2574 3.7965
Cl Pb Ba
1 1 1
Direct
0.3751 0.3751 0.6249 Cl
0.6595 0.6595 0.3405 Pb
0.9655 0.9655 0.0345 Ba
```

Density: 5.43 g/cm³
Uncorrected formation energy: -23.08 kcal/mol of atoms
D(E_F): 3.34 states/eV/cell
Magnetic moment: 0.00 Bohr magnetons per cell

---

[7]
Entry from Alexandria: a relaxed structure of BaPbCl (PBE).

```
BaPbCl
1.0
5.4103 0.0000 0.0000
2.7052 4.6855 0.0000
2.7052 1.5618 4.4175
Pb Cl Ba
1 1 1
Direct
0.0000 0.0000 0.0000 Pb
0.7500 0.7500 0.7500 Cl
0.5000 0.5000 0.5000 Ba
```

Density: 5.63 g/cm³
Uncorrected formation energy: -16.92 kcal/mol of atoms
D(E_F): 3.71 states/eV/cell
Magnetic moment: 0.80 Bohr magnetons per cell

---

[8]
Entry from Alexandria: a relaxed structure of BaPbCl4 (PBE).

```
BaPbCl4
1.0
7.7277 0.0505 -2.7794
-4.1182 6.7058 -2.3492
-0.0085 -0.0505 8.2124
Ba Cl Pb
2 8 2
Direct
0.6687 0.9187 0.2500 Ba
0.3313 0.0813 0.7500 Ba
0.8591 0.8056 0.5535 Cl
0.3162 0.3895 0.0734 Cl
0.6838 0.2572 0.5734 Cl
0.1409 0.1944 0.4465 Cl
0.6838 0.6105 0.9266 Cl
0.2521 0.8056 0.9465 Cl
0.3162 0.7428 0.4266 Cl
0.7479 0.1944 0.0535 Cl
0.5000 0.5000 0.5000 Pb
0.0000 0.5000 0.0000 Pb
```

Density: 3.79 g/cm³
Uncorrected formation energy: -41.88 kcal/mol of atoms
D(E_F): 0.00 states/eV/cell
Magnetic moment: 0.00 Bohr magnetons per cell

---

[9]
Entry from Alexandria: a relaxed structure of BaPbCl2 (PBE).

```
BaPbCl2
1.0
5.6833 0.0000 0.0000
2.8417 4.9219 0.0000
2.8417 1.6406 4.6404
Cl Pb Ba
2 1 1
Direct
0.2500 0.2500 0.2500 Cl
0.0000 0.0000 0.0000 Cl
0.7500 0.7500 0.7500 Pb
0.5000 0.5000 0.5000 Ba
```

Density: 5.31 g/cm³
Uncorrected formation energy: -19.60 kcal/mol of atoms
D(E_F): 4.06 states/eV/cell
Magnetic moment: 1.93 Bohr magnetons per cell

---

[10]
Entry from Alexandria: a relaxed structure of BaPb2Cl (PBE).

```
BaPb2Cl
1.0
5.6879 0.0000 0.0000
2.8439 4.9258 0.0000
2.8439 1.6419 4.6441
Pb Ba Cl
2 1 1
Direct
0.0000 0.0000 0.0000 Pb
0.2500 0.2500 0.2500 Pb
0.5000 0.5000 0.5000 Ba
0.7500 0.7500 0.7500 Cl
```

Density: 7.49 g/cm³
Uncorrected formation energy: -17.75 kcal/mol of atoms
D(E_F): 1.80 states/eV/cell
Magnetic moment: 0.00 Bohr magnetons per cell

---

[11]
Entry from Alexandria: a relaxed structure of BaPbCl2 (PBE).

```
BaPbCl2
1.0
4.8934 0.0000 0.0000
0.0000 4.1439 -0.0077
0.0000 0.0889 6.5410
Cl Ba Pb
2 1 1
Direct
0.0000 0.0464 0.9917 Cl
0.0000 0.4536 0.5083 Cl
0.5000 0.7500 0.7500 Ba
0.5000 0.2500 0.2500 Pb
```

Density: 5.20 g/cm³
Uncorrected formation energy: -29.77 kcal/mol of atoms
D(E_F): 1.20 states/eV/cell
Magnetic moment: 0.00 Bohr magnetons per cell

---

[12]
Entry from Alexandria: a relaxed structure of BaPb2Cl (PBE).

```
BaPb2Cl
1.0
7.6358 -0.0023 0.0528
6.3262 4.2761 0.0528
1.1318 0.3465 4.3256
Pb Cl Ba
2 1 1
Direct
0.0016 0.0016 0.9963 Pb
0.4984 0.4984 0.5037 Pb
0.2500 0.2500 0.2500 Cl
0.7500 0.7500 0.7500 Ba
```

Density: 6.91 g/cm³
Uncorrected formation energy: -20.17 kcal/mol of atoms
D(E_F): 2.37 states/eV/cell
Magnetic moment: 0.00 Bohr magnetons per cell